Compound: RbTl2CdBi
Source: the Alexandria database
Functional: GGA-PBE
Structure: optimized geometry

a b c (Å): 5.1642 5.2917 13.1193
angles (deg): 90.00 90.00 90.00
Last column: nearest neighbours and their distance in Å.
Sites, in units of the cell vectors:
Rb 0.0000 0.0000 0.0000  8 Tl 3.96-4.29, 4 Cd 4.01, 4 Bi 4.18-4.21
Rb 0.5000 0.5000 0.5000  8 Tl 3.96-4.29, 4 Cd 4.01, 4 Bi 4.18-4.21
Tl 0.0000 0.0000 0.6080  1 Cd 2.98, 2 Bi 3.24, 2 Tl 3.24
Tl 0.0000 0.5000 0.2576  2 Cd 3.10, 2 Tl 3.24
Tl 0.5000 0.0000 0.7576  2 Cd 3.10, 2 Tl 3.24
Tl 0.5000 0.5000 0.1080  1 Cd 2.98, 2 Bi 3.24, 2 Tl 3.24
Cd 0.0000 0.0000 0.3812  3 Tl 2.98-3.10, 2 Bi 3.10
Cd 0.5000 0.5000 0.8812  3 Tl 2.98-3.10, 2 Bi 3.10
Bi 0.0000 0.5000 0.7508  2 Cd 3.10, 2 Tl 3.24
Bi 0.5000 0.0000 0.2508  2 Cd 3.10, 2 Tl 3.24

Results
Its density of states at the Fermi level is 0.2998 states/eV per atom. The total energy is -0.082 Ha/atom.